The following is a PBE calculation of a relaxed structure of FeSn2As2, from the Alexandria database.

Results
* D(E_F): 0.863 states/eV/atom
* polymorph energy (0 for the lowest one): 0.096 eV per atom
* formation energy from the elements: 0.503 eV/atom
* calculated total energy: -4.650 eV/atom

Lattice parameters (Å, degrees): 7.277 7.277 3.993 90.00 90.00 90.00
Fractional positions:
Fe1 0.000 0.000 0.000
Fe2 0.500 0.500 0.000
Sn1 0.146 0.354 0.000
Sn2 0.354 0.854 0.000
Sn3 0.646 0.146 0.000
Sn4 0.854 0.646 0.000
As1 0.173 0.673 0.500
As2 0.327 0.173 0.500
As3 0.673 0.827 0.500
As4 0.827 0.327 0.500



The following is a PBE calculation of a relaxed structure of Tl2FeSnAs, from the Alexandria database.

Results
* D(E_F): 2.276 states/eV/atom
* formation energy from the elements: 0.996 eV/atom
* calculated total energy: -3.373 eV/atom

Lattice parameters (Å, degrees): 5.364 5.364 5.528 90.00 90.00 90.00
Fractional positions:
Tl1 0.000 0.500 0.000
Tl2 0.500 0.000 0.000
Fe1 0.000 0.000 0.500
Sn1 0.500 0.500 0.500
As1 0.500 0.500 0.000



The following is a PBE calculation of a relaxed structure of FeSnAs2W, from the Alexandria database.

Results
* D(E_F): 0.849 states/eV/atom
* formation energy from the elements: 0.791 eV/atom
* calculated total energy: -6.153 eV/atom

Lattice parameters (Å, degrees): 4.431 4.431 4.847 90.00 90.00 90.00
Fractional positions:
Fe1 0.000 0.000 0.000
Sn1 0.500 0.500 0.500
As1 0.000 0.500 0.000
As2 0.500 0.000 0.000
W1 0.000 0.000 0.500



The following is a PBE calculation of a relaxed structure of SrFe2As, from the Alexandria database.

Results
* D(E_F): 1.162 states/eV/atom
* formation energy from the elements: 0.130 eV/atom
* calculated total energy: -5.684 eV/atom

Lattice parameters (Å, degrees): 4.605 4.266 4.747 90.00 90.06 90.00
Fractional positions:
Sr1 0.000 0.000 0.000
Fe1 0.237 0.500 0.501
Fe2 0.763 0.500 0.499
As1 0.500 0.000 0.500